# 1
! Zr2TcHg GGA-PBEsol relaxed; values from VASP
&SYSTEM
  ibrav = 0, nat = 4, ntyp = 3
/
ATOMIC_SPECIES
Hg 200.59 Hg.upf
Tc 98.00 Tc.upf
Zr 91.22 Zr.upf
CELL_PARAMETERS angstrom
-1.435 -3.098 -0.404
1.966 -1.241 2.533
-4.490 1.527 4.233
ATOMIC_POSITIONS angstrom
Hg -2.289 0.779 2.158
Tc -3.169 -1.001 4.302
Zr -4.372 1.487 4.122
Zr -0.865 -1.785 2.130
! VASP energy: -30.27 eV per cell
! E_form: -6.1 kJ/mol of atoms
! crystal system: tetragonal

***

# 2
! Zr2TcHg GGA-PBEsol relaxed; values from VASP
&SYSTEM
  ibrav = 0, nat = 4, ntyp = 3
/
ATOMIC_SPECIES
Hg 200.59 Hg.upf
Zr 91.22 Zr.upf
Tc 98.00 Tc.upf
CELL_PARAMETERS angstrom
-3.099 1.102 0.239
-1.054 -2.583 -1.758
-0.850 -3.671 5.903
ATOMIC_POSITIONS angstrom
Hg -2.076 -0.740 -0.760
Zr -0.613 -2.649 4.259
Zr -0.237 -1.022 1.644
Tc -2.501 -2.576 2.192
! VASP energy: -31.46 eV per cell
! E_form: -34.9 kJ/mol of atoms
! crystal system: tetragonal

***

# 3
! ZrTc2Hg GGA-PBEsol relaxed; values from VASP
&SYSTEM
  ibrav = 0, nat = 4, ntyp = 3
/
ATOMIC_SPECIES
Hg 200.59 Hg.upf
Tc 98.00 Tc.upf
Zr 91.22 Zr.upf
CELL_PARAMETERS angstrom
4.047 0.000 0.000
0.000 4.047 0.000
-2.023 -2.023 4.060
ATOMIC_POSITIONS angstrom
Hg 0.000 2.023 2.030
Tc 0.000 0.000 0.000
Tc 2.023 0.000 2.030
Zr 2.023 2.023 0.000
! VASP energy: -31.69 eV per cell
! E_form: 11.9 kJ/mol of atoms
! crystal system: tetragonal

***

# 4
! Hg5Te GGA-PBEsol relaxed; values from VASP
&SYSTEM
  ibrav = 0, nat = 6, ntyp = 2
/
ATOMIC_SPECIES
Te 127.60 Te.upf
Hg 200.59 Hg.upf
CELL_PARAMETERS angstrom
-0.764 -2.900 -0.332
1.533 -0.691 2.505
-13.887 2.601 9.217
ATOMIC_POSITIONS angstrom
Te 0.385 -1.795 1.086
Hg -11.382 2.132 7.554
Hg -2.505 0.469 1.663
Hg -8.769 -0.080 7.162
Hg -4.348 -0.908 4.228
Hg -6.943 1.301 4.609
! distance to the lowest polymorph of the same formula: 0.0035 eV per atom
! VASP energy: -6.13 eV per cell
! crystal system: tetragonal

***

# 5
! HgTe4 GGA-PBEsol relaxed; values from VASP
&SYSTEM
  ibrav = 0, nat = 5, ntyp = 2
/
ATOMIC_SPECIES
Hg 200.59 Hg.upf
Te 127.60 Te.upf
CELL_PARAMETERS angstrom
5.929 0.000 0.000
-1.976 5.590 0.000
-1.976 -2.795 4.841
ATOMIC_POSITIONS angstrom
Hg 0.000 0.000 0.000
Te -0.988 -1.398 2.421
Te -0.988 2.795 0.000
Te 2.965 0.000 0.000
Te 0.988 1.398 2.421
! VASP energy: -13.12 eV per cell
! crystal system: cubic

***

# 6
! HgTe GGA-PBEsol relaxed; values from VASP
&SYSTEM
  ibrav = 0, nat = 4, ntyp = 2
/
ATOMIC_SPECIES
Hg 200.59 Hg.upf
Te 127.60 Te.upf
CELL_PARAMETERS angstrom
-2.259 -1.758 -0.893
-0.800 -0.423 2.858
-7.723 10.253 -0.645
ATOMIC_POSITIONS angstrom
Hg -1.979 0.249 -0.517
Hg -7.274 8.914 0.855
Te -6.104 5.725 -0.862
Te -3.149 3.437 1.199
! VASP energy: -7.87 eV per cell
! crystal system: tetragonal

***

# 7
! Hg5Te GGA-PBEsol relaxed; values from VASP
&SYSTEM
  ibrav = 0, nat = 6, ntyp = 2
/
ATOMIC_SPECIES
Te 127.60 Te.upf
Hg 200.59 Hg.upf
CELL_PARAMETERS angstrom
-0.316 2.924 3.080
-5.700 -0.269 -0.330
2.816 -4.368 4.436
ATOMIC_POSITIONS angstrom
Te -2.850 -0.135 -0.165
Hg -3.020 -0.221 2.844
Hg -2.873 -3.144 2.689
Hg -0.158 1.462 1.540
Hg -0.011 -1.494 1.417
Hg -0.180 -1.493 4.343
! distance to the lowest polymorph of the same formula: 0.0000 eV per atom
! VASP energy: -6.15 eV per cell
! crystal system: orthorhombic

***

# 8
! Hg3Te4 GGA-PBEsol relaxed; values from VASP
&SYSTEM
  ibrav = 0, nat = 7, ntyp = 2
/
ATOMIC_SPECIES
Hg 200.59 Hg.upf
Te 127.60 Te.upf
CELL_PARAMETERS angstrom
4.344 0.000 0.000
0.000 4.344 0.000
-2.172 -2.172 11.589
ATOMIC_POSITIONS angstrom
Hg 0.000 0.000 0.000
Hg 2.172 2.172 5.698
Hg 0.000 0.000 5.891
Te 2.172 2.172 8.779
Te 0.000 0.000 2.810
Te 2.172 2.172 2.660
Te 0.000 0.000 8.930
! VASP energy: -15.40 eV per cell
! crystal system: tetragonal

***

# 9
! HgTe GGA-PBEsol relaxed; values from VASP
&SYSTEM
  ibrav = 0, nat = 8, ntyp = 2
/
ATOMIC_SPECIES
Hg 200.59 Hg.upf
Te 127.60 Te.upf
CELL_PARAMETERS angstrom
-0.300 -1.309 5.218
4.467 -1.107 -2.802
3.304 7.860 2.163
ATOMIC_POSITIONS angstrom
Hg 4.317 5.962 4.526
Hg 4.254 2.099 0.772
Hg 3.154 -0.518 0.052
Hg 3.217 3.345 3.806
Te 2.478 5.895 1.622
Te 0.826 1.965 0.541
Te 2.115 0.723 3.085
Te 5.356 4.721 1.493
! VASP energy: -15.06 eV per cell
! crystal system: hexagonal

***

# 10
! HgTe GGA-PBEsol relaxed; values from VASP
&SYSTEM
  ibrav = 0, nat = 6, ntyp = 2
/
ATOMIC_SPECIES
Te 127.60 Te.upf
Hg 200.59 Hg.upf
CELL_PARAMETERS angstrom
-0.184 -4.498 -0.009
3.070 2.133 -2.510
6.542 -0.282 7.763
ATOMIC_POSITIONS angstrom
Te 5.677 -1.266 4.028
Te 3.852 1.067 1.222
Te -0.100 -2.449 -0.005
Hg 2.125 -0.895 0.391
Hg 7.422 1.133 4.859
Hg 3.153 -3.028 3.876
! VASP energy: -12.88 eV per cell
! crystal system: trigonal

***

# 11
! HgTe GGA-PBEsol relaxed; values from VASP
&SYSTEM
  ibrav = 0, nat = 2, ntyp = 2
/
ATOMIC_SPECIES
Te 127.60 Te.upf
Hg 200.59 Hg.upf
CELL_PARAMETERS angstrom
-4.029 0.749 -2.090
-0.554 -1.173 -4.413
-2.707 -3.548 -1.114
ATOMIC_POSITIONS angstrom
Te -1.823 -0.993 -1.905
Hg 0.000 0.000 0.000
! VASP energy: -4.38 eV per cell
! crystal system: cubic

***

# 12
! HgTe GGA-PBEsol relaxed; values from VASP
&SYSTEM
  ibrav = 0, nat = 2, ntyp = 2
/
ATOMIC_SPECIES
Te 127.60 Te.upf
Hg 200.59 Hg.upf
CELL_PARAMETERS angstrom
-2.505 -1.640 -0.102
1.570 -2.443 0.737
-1.056 1.223 6.307
ATOMIC_POSITIONS angstrom
Te -0.996 -1.430 3.471
Hg 0.000 0.000 0.000
! VASP energy: -3.95 eV per cell
! crystal system: tetragonal

***

# 13
! Hg4Te3 GGA-PBEsol relaxed; values from VASP
&SYSTEM
  ibrav = 0, nat = 7, ntyp = 2
/
ATOMIC_SPECIES
Hg 200.59 Hg.upf
Te 127.60 Te.upf
CELL_PARAMETERS angstrom
4.209 0.000 0.000
0.000 4.209 0.000
-2.104 -2.104 11.357
ATOMIC_POSITIONS angstrom
Hg 2.104 2.104 7.341
Hg 0.000 0.000 4.016
Hg 2.104 2.104 1.336
Hg 0.000 0.000 10.021
Te 0.000 0.000 0.000
Te 2.104 2.104 4.049
Te 0.000 0.000 7.307
! VASP energy: -12.80 eV per cell
! crystal system: tetragonal

***

# 14
! HgTe GGA-PBEsol relaxed; values from VASP
&SYSTEM
  ibrav = 0, nat = 2, ntyp = 2
/
ATOMIC_SPECIES
Te 127.60 Te.upf
Hg 200.59 Hg.upf
CELL_PARAMETERS angstrom
-0.656 -3.227 1.706
3.393 -1.180 -0.926
1.348 1.397 3.160
ATOMIC_POSITIONS angstrom
Te 2.042 -1.505 1.970
Hg 0.000 0.000 0.000
! VASP energy: -3.69 eV per cell
! crystal system: cubic

***

# 15
! TiHgTe2 GGA-PBEsol relaxed; values from VASP
&SYSTEM
  ibrav = 0, nat = 4, ntyp = 3
/
ATOMIC_SPECIES
Te 127.60 Te.upf
Hg 200.59 Hg.upf
Ti 47.87 Ti.upf
CELL_PARAMETERS angstrom
3.631 0.000 0.000
1.815 3.144 0.000
1.815 1.048 10.288
ATOMIC_POSITIONS angstrom
Te 5.446 3.144 3.390
Te 1.815 1.048 6.898
Hg 0.000 0.000 0.000
Ti 3.631 2.096 5.144
! VASP energy: -17.72 eV per cell
! crystal system: trigonal

***

# 16
! TiHgTe3 GGA-PBEsol relaxed; values from VASP
&SYSTEM
  ibrav = 0, nat = 5, ntyp = 3
/
ATOMIC_SPECIES
Te 127.60 Te.upf
Hg 200.59 Hg.upf
Ti 47.87 Ti.upf
CELL_PARAMETERS angstrom
-0.938 5.196 -0.019
-0.062 0.009 5.279
5.195 0.938 0.060
ATOMIC_POSITIONS angstrom
Te -0.031 0.004 2.640
Te 2.598 0.469 0.030
Te -0.469 2.598 -0.010
Hg 2.098 3.071 2.660
Ti 0.000 0.000 0.000
! VASP energy: -19.86 eV per cell
! crystal system: cubic

***

# 17
! Tl2HgTe GGA-PBEsol relaxed; values from VASP
&SYSTEM
  ibrav = 0, nat = 4, ntyp = 3
/
ATOMIC_SPECIES
Hg 200.59 Hg.upf
Te 127.60 Te.upf
Tl 204.38 Tl.upf
CELL_PARAMETERS angstrom
3.931 0.000 0.000
0.000 3.931 0.000
0.000 0.000 7.341
ATOMIC_POSITIONS angstrom
Hg 0.000 0.000 3.706
Te 1.966 1.966 5.428
Tl 0.000 0.000 7.153
Tl 1.966 1.966 2.065
! distance to the lowest polymorph of the same formula: 0.0759 eV per atom
! VASP energy: -9.67 eV per cell
! crystal system: tetragonal

***

# 18
! Tl2HgTe GGA-PBEsol relaxed; values from VASP
&SYSTEM
  ibrav = 0, nat = 4, ntyp = 3
/
ATOMIC_SPECIES
Tl 204.38 Tl.upf
Te 127.60 Te.upf
Hg 200.59 Hg.upf
CELL_PARAMETERS angstrom
-0.419 -0.933 3.751
3.847 -0.469 0.313
0.739 7.326 1.904
ATOMIC_POSITIONS angstrom
Tl 0.549 5.446 1.416
Tl 0.190 1.880 0.489
Te 2.083 2.962 2.984
Hg 1.714 -0.701 2.032
! distance to the lowest polymorph of the same formula: 0.0386 eV per atom
! VASP energy: -9.82 eV per cell
! crystal system: tetragonal

***

# 19
! Tl2HgTe GGA-PBEsol relaxed; values from VASP
&SYSTEM
  ibrav = 0, nat = 4, ntyp = 3
/
ATOMIC_SPECIES
Tl 204.38 Tl.upf
Te 127.60 Te.upf
Hg 200.59 Hg.upf
CELL_PARAMETERS angstrom
4.778 0.000 0.000
0.000 4.778 0.000
-2.389 -2.389 5.003
ATOMIC_POSITIONS angstrom
Tl 0.000 0.000 0.000
Tl 2.389 0.000 2.501
Te 0.000 2.389 2.501
Hg 2.389 2.389 0.000
! distance to the lowest polymorph of the same formula: 0.0517 eV per atom
! VASP energy: -9.77 eV per cell
! crystal system: tetragonal

***

# 20
! TlHgTe2 GGA-PBEsol relaxed; values from VASP
&SYSTEM
  ibrav = 0, nat = 4, ntyp = 3
/
ATOMIC_SPECIES
Hg 200.59 Hg.upf
Te 127.60 Te.upf
Tl 204.38 Tl.upf
CELL_PARAMETERS angstrom
-4.140 -1.943 -2.802
0.733 -1.710 -5.030
-0.260 -5.239 -1.116
ATOMIC_POSITIONS angstrom
Hg 0.000 0.000 0.000
Te -0.916 -2.223 -2.237
Te -2.749 -6.670 -6.711
Tl -1.833 -4.446 -4.474
! VASP energy: -10.00 eV per cell
! crystal system: cubic